1.
Below is a relaxed Cd3S2F crystal, with properties calculated at the GGA-PBE level.

Output
Electronic total energy   -2.953 eV/atom

Unit cell a=4.210 b=5.714 c=7.101 alpha=113.72 beta=107.24 gamma=90.00
Atoms (fractional coordinates):
Cd 0.000 0.043 0.000
Cd 0.335 0.317 0.670
Cd 0.665 0.646 0.330
S 0.839 0.576 0.679
S 0.161 0.897 0.321
F 0.500 0.263 0.000

---

2.
Below is a relaxed SrLi9Mg4 crystal, with properties calculated at the GGA-PBE level.

Output
Energy of formation from the pure elements   -0.01 eV per atom

Unit cell a=9.821 b=9.821 c=9.686 alpha=120.46 beta=120.46 gamma=90.00
Atoms (fractional coordinates):
Sr 0.750 0.750 0.500
Sr 0.250 0.250 0.500
Li 0.054 0.203 0.000
Li 0.946 0.797 0.000
Li 0.554 0.297 0.000
Li 0.446 0.703 0.000
Li 0.297 0.446 0.000
Li 0.703 0.554 0.000
Li 0.203 0.946 0.000
Li 0.797 0.054 0.000
Li 0.000 0.500 0.000
Li 0.500 0.000 0.000
Li 0.787 0.287 0.353
Li 0.566 0.066 0.353
Li 0.934 0.213 0.647
Li 0.713 0.434 0.647
Li 0.213 0.713 0.647
Li 0.434 0.934 0.647
Li 0.287 0.566 0.353
Li 0.066 0.787 0.353
Mg 0.309 0.809 0.245
Mg 0.936 0.436 0.245
Mg 0.564 0.691 0.755
Mg 0.191 0.064 0.755
Mg 0.691 0.191 0.755
Mg 0.064 0.564 0.755
Mg 0.809 0.936 0.245
Mg 0.436 0.309 0.245

---

3.
Below is a relaxed Pr2Si3Pt2 crystal, with properties calculated at the GGA-PBE level.

Output
Relative energy among the computed polymorphs   385.6 meV/atom

Unit cell a=7.239 b=7.239 c=7.239 alpha=109.47 beta=109.47 gamma=109.47
Atoms (fractional coordinates):
Pr 0.000 0.000 0.533
Pr 0.500 0.533 0.500
Pr 0.467 0.967 0.967
Pr 0.033 0.500 0.000
Si 0.779 0.750 0.029
Si 0.721 0.250 0.471
Si 0.971 0.221 0.250
Si 0.529 0.279 0.750
Si 0.250 0.029 0.279
Si 0.750 0.471 0.221
Pt 0.000 0.000 0.935
Pt 0.500 0.935 0.500
Pt 0.065 0.565 0.565
Pt 0.435 0.500 0.000

---

4.
Below is a relaxed MgZn3 crystal, with properties calculated at the GGA-PBE level.

Output
Energy of formation from the pure elements   0.11 eV per atom

Unit cell a=4.571 b=4.571 c=7.959 alpha=90.00 beta=90.00 gamma=120.00
Atoms (fractional coordinates):
Mg 0.667 0.333 0.250
Mg 0.333 0.667 0.750
Zn 0.667 0.333 0.587
Zn 0.333 0.667 0.087
Zn 0.333 0.667 0.413
Zn 0.667 0.333 0.913
Zn 0.000 0.000 0.250
Zn 0.000 0.000 0.750

---

5.
Below is a relaxed Tm4Al16Cu3 crystal, with properties calculated at the GGA-PBE level.

Output
Energy of formation from the pure elements   -0.31 eV per atom

Unit cell a=6.119 b=6.119 c=11.062 alpha=90.00 beta=90.00 gamma=90.00
Atoms (fractional coordinates):
Tm 0.500 0.000 0.811
Tm 0.000 0.500 0.189
Tm 0.000 0.500 0.811
Tm 0.500 0.000 0.189
Al 0.000 0.000 0.774
Al 0.284 0.284 0.000
Al 0.500 0.500 0.802
Al 0.716 0.284 0.000
Al 0.500 0.500 0.198
Al 0.716 0.716 0.000
Al 0.000 0.000 0.226
Al 0.742 0.742 0.622
Al 0.742 0.258 0.378
Al 0.258 0.258 0.622
Al 0.258 0.742 0.378
Al 0.284 0.716 0.000
Al 0.742 0.742 0.378
Al 0.742 0.258 0.622
Al 0.258 0.258 0.378
Al 0.258 0.742 0.622
Cu 0.000 0.500 0.500
Cu 0.000 0.000 0.000
Cu 0.500 0.000 0.500

---

6.
Below is a relaxed LiYCu2 crystal, with properties calculated at the GGA-PBE level.

Output
Energy of formation from the pure elements   -0.08 eV per atom

Unit cell a=3.364 b=3.347 c=7.031 alpha=61.52 beta=90.00 gamma=90.00
Atoms (fractional coordinates):
Cu 0.000 0.954 0.045
Cu 0.000 0.546 0.455
Li 0.500 0.250 0.250
Y 0.500 0.750 0.750

---

7.
Below is a relaxed AcP2PtRh2 crystal, with properties calculated at the GGA-PBE level.

Output
Energy of formation from the pure elements   -0.84 eV per atom

Unit cell a=4.059 b=5.892 c=10.177 alpha=90.00 beta=90.00 gamma=90.00
Atoms (fractional coordinates):
Ac 0.500 0.500 0.000
Ac 0.000 0.000 0.500
P 0.500 0.692 0.304
P 0.500 0.308 0.696
P 0.000 0.808 0.804
P 0.000 0.192 0.196
Pt 0.000 0.000 0.000
Pt 0.500 0.500 0.500
Rh 0.500 0.008 0.190
Rh 0.000 0.508 0.310
Rh 0.500 0.992 0.810
Rh 0.000 0.492 0.690

---

8.
Below is a relaxed Li2AcGaF8 crystal, with properties calculated at the GGA-PBE level.

Output
Electronic total energy   -5.360 eV/atom

Unit cell a=4.382 b=4.952 c=7.378 alpha=97.27 beta=88.43 gamma=88.23
Atoms (fractional coordinates):
Li 0.469 0.465 0.817
Li 0.531 0.535 0.183
Ac 0.000 0.000 0.500
Ga 0.000 0.000 0.000
F 0.159 0.790 0.182
F 0.681 0.747 0.987
F 0.827 0.228 0.222
F 0.841 0.210 0.818
F 0.319 0.253 0.013
F 0.173 0.772 0.778
F 0.557 0.734 0.431
F 0.443 0.266 0.569

---

9.
Below is a relaxed Tb6Pm3SmHo2 crystal, with properties calculated at the GGA-PBE level.

Output
Energy of formation from the pure elements   0.01 eV per atom

Unit cell a=6.205 b=6.205 c=11.868 alpha=94.98 beta=94.98 gamma=119.97
Atoms (fractional coordinates):
Tb 0.917 0.583 0.752
Tb 0.749 0.749 0.248
Tb 0.083 0.417 0.248
Tb 0.583 0.917 0.752
Tb 0.251 0.251 0.752
Tb 0.417 0.083 0.248
Pm 0.167 0.833 0.500
Pm 0.833 0.167 0.500
Pm 0.500 0.500 0.500
Sm 0.000 0.000 0.000
Ho 0.333 0.667 0.000
Ho 0.667 0.333 0.000

---

10.
Below is a relaxed PrTmTh2Sb5 crystal, with properties calculated at the GGA-PBE level.

Output
Electronic total energy   -5.218 eV/atom

Unit cell a=5.222 b=5.222 c=11.649 alpha=90.00 beta=90.00 gamma=90.00
Atoms (fractional coordinates):
Pr 0.000 0.000 0.000
Tm 0.000 0.000 0.500
Th 0.500 0.500 0.301
Th 0.500 0.500 0.699
Sb 0.000 0.500 0.500
Sb 0.500 0.000 0.500
Sb 0.000 0.000 0.747
Sb 0.000 0.000 0.253
Sb 0.500 0.500 0.000

---

11.
Below is a relaxed Ba2YCd crystal, with properties calculated at the GGA-PBE level.

Output
Energy of formation from the pure elements   0.07 eV per atom

Unit cell a=9.671 b=6.187 c=4.243 alpha=89.95 beta=64.02 gamma=129.09
Atoms (fractional coordinates):
Ba 0.000 0.000 0.000
Ba 0.500 0.000 0.500
Cd 0.000 0.500 0.500
Y 0.500 0.500 0.000

---

12.
Below is a relaxed NaAlGa2Tc crystal, with properties calculated at the GGA-PBE level.

Output
Energy of formation from the pure elements   -0.07 eV per atom

Unit cell a=4.866 b=4.866 c=4.785 alpha=90.00 beta=90.00 gamma=90.00
Atoms (fractional coordinates):
Na 0.500 0.500 0.500
Tc 0.000 0.000 0.000
Ga 0.000 0.500 0.000
Ga 0.500 0.000 0.000
Al 0.000 0.000 0.500

---

13.
Below is a relaxed NdTmCu2 crystal, with properties calculated at the GGA-PBE level.

Output
Energy of formation from the pure elements   -0.20 eV per atom
Relative energy among the computed polymorphs   23.2 meV/atom

Unit cell a=4.965 b=4.965 c=4.965 alpha=60.00 beta=60.00 gamma=60.00
Atoms (fractional coordinates):
Tm 0.000 0.000 0.000
Nd 0.500 0.500 0.500
Cu 0.250 0.250 0.250
Cu 0.750 0.750 0.750

---

14.
Below is a relaxed InCu2As crystal, with properties calculated at the GGA-PBE level.

Output
Energy of formation from the pure elements   0.31 eV per atom

Unit cell a=4.607 b=4.607 c=4.607 alpha=60.00 beta=60.00 gamma=60.00
Atoms (fractional coordinates):
As 0.500 0.500 0.500
Cu 0.000 0.000 0.000
Cu 0.250 0.250 0.250
In 0.750 0.750 0.750

---

15.
Below is a relaxed Pr7InSn5 crystal, with properties calculated at the GGA-PBE level.

Output
Energy of formation from the pure elements   -0.49 eV per atom

Unit cell a=6.435 b=8.616 c=8.616 alpha=84.59 beta=68.07 gamma=68.07
Atoms (fractional coordinates):
Pr 0.632 0.368 0.368
Pr 0.249 0.751 0.751
Pr 0.008 0.322 0.662
Pr 0.008 0.662 0.322
Pr 0.287 0.213 0.213
Pr 0.526 0.811 0.137
Pr 0.526 0.137 0.811
In 0.946 0.054 0.054
Sn 0.512 0.996 0.480
Sn 0.011 0.996 0.480
Sn 0.512 0.480 0.996
Sn 0.011 0.480 0.996
Sn 0.772 0.728 0.728

---

16.
Below is a relaxed InSb2OsPb crystal, with properties calculated at the GGA-PBE level.

Output
Electronic total energy   -3.649 eV/atom

Unit cell a=5.813 b=5.129 c=5.813 alpha=90.00 beta=90.00 gamma=90.00
Site moments in Bohr magnetons follow the coordinates.
Atoms (fractional coordinates):
Pb 0.000 0.000 0.000  -0.02
Sb 0.000 0.000 0.500  0.01
Sb 0.500 0.000 0.000  0.00
Os 0.000 0.500 0.000  1.44
In 0.500 0.500 0.500  0.01

---

17.
Below is a relaxed NaPr2Bi crystal, with properties calculated at the GGA-PBE level.

Output
Energy of formation from the pure elements   -0.36 eV per atom

Unit cell a=4.583 b=5.234 c=5.234 alpha=90.00 beta=90.00 gamma=90.00
Atoms (fractional coordinates):
Pr 0.000 0.000 0.500
Pr 0.000 0.500 0.000
Na 0.500 0.000 0.000
Bi 0.500 0.500 0.500

---

18.
Below is a relaxed Ba2BePb crystal, with properties calculated at the GGA-PBE level.

Output
Energy of formation from the pure elements   0.23 eV per atom
Relative energy among the computed polymorphs   316.2 meV/atom

Unit cell a=3.880 b=3.880 c=9.954 alpha=90.00 beta=90.00 gamma=90.67
Site moments in Bohr magnetons follow the coordinates.
Atoms (fractional coordinates):
Pb 0.500 0.500 0.681  0.01
Be 0.000 0.000 0.554  0.01
Ba 0.000 0.000 0.930  0.06
Ba 0.500 0.500 0.334  0.05

---

19.
Below is a relaxed LiDyHfCo crystal, with properties calculated at the GGA-PBE level.

Output
Energy of formation from the pure elements   -0.01 eV per atom

Unit cell a=4.681 b=4.681 c=4.681 alpha=60.00 beta=60.00 gamma=60.00
Atoms (fractional coordinates):
Co 0.500 0.500 0.500
Li 0.000 0.000 0.000
Hf 0.250 0.250 0.250
Dy 0.750 0.750 0.750

---

20.
Below is a relaxed FeAgSb2Te crystal, with properties calculated at the GGA-PBE level.

Output
Relative energy among the computed polymorphs   668.9 meV/atom

Unit cell a=5.317 b=5.317 c=5.431 alpha=90.00 beta=90.00 gamma=90.00
Site moments in Bohr magnetons follow the coordinates.
Atoms (fractional coordinates):
Sb 0.000 0.500 0.000  -0.06
Sb 0.500 0.000 0.000  -0.06
Te 0.000 0.000 0.500  -0.02
Fe 0.500 0.500 0.500  3.29
Ag 0.000 0.000 0.000  -0.01

---

21.
Below is a relaxed NpCu2RhS6 crystal, with properties calculated at the GGA-PBE level.

Output
Electronic total energy   -5.771 eV/atom

Unit cell a=6.284 b=6.082 c=6.996 alpha=90.91 beta=118.25 gamma=121.29
Site moments in Bohr magnetons follow the coordinates.
Atoms (fractional coordinates):
Np 0.998 0.002 0.964  2.58
Cu 0.629 0.801 0.414  0.04
Cu 0.559 0.323 0.816  -0.08
Rh 0.981 0.494 0.451  -0.04
S 0.479 0.911 0.723  -0.13
S 0.501 0.059 0.219  -0.09
S 0.782 0.666 0.164  -0.09
S 0.148 0.418 0.237  -0.07
S 0.796 0.580 0.649  -0.05
S 0.092 0.225 0.664  -0.06

---

22.
Below is a relaxed PaSi2Au crystal, with properties calculated at the GGA-PBE level.

Output
Electronic total energy   -6.232 eV/atom

Unit cell a=3.942 b=4.379 c=4.379 alpha=90.00 beta=90.00 gamma=90.00
Atoms (fractional coordinates):
Si 0.000 0.000 0.500
Si 0.000 0.500 0.000
Pa 0.500 0.500 0.500
Au 0.500 0.000 0.000

---

23.
Below is a relaxed La3TbNd3 crystal, with properties calculated at the GGA-PBE level.

Output
Energy of formation from the pure elements   0.04 eV per atom
Relative energy among the computed polymorphs   0.0 meV/atom

Unit cell a=5.945 b=9.903 c=9.903 alpha=120.00 beta=90.00 gamma=90.00
Atoms (fractional coordinates):
La 0.750 0.476 0.379
La 0.750 0.904 0.524
La 0.250 0.379 0.904
La 0.750 0.621 0.096
La 0.250 0.096 0.476
La 0.250 0.524 0.621
Tb 0.250 0.667 0.333
Tb 0.750 0.333 0.667
Nd 0.750 0.191 0.953
Nd 0.750 0.762 0.809
Nd 0.250 0.953 0.762
Nd 0.750 0.047 0.238
Nd 0.250 0.238 0.191
Nd 0.250 0.809 0.047